Here is crystalline GdDyGaTc at its relaxed geometry from the Alexandria database. Energies are from PBE.

The formation energy from the elements comes out at -0.2161 eV/atom.

The structure belongs to space group F-43m (No. 216); the cell edges are 7.029, 7.029 and 7.029 Å and the angles 90.00°, 90.00° and 90.00°. Symmetry generates all atoms from Gd at (0.000, 0.000, 0.000), Dy at (0.000, 0.000, 0.500), Ga at (0.250, 0.250, 0.750) and Tc at (0.250, 0.250, 0.250).